No. 1
Density functional theory data (PBE) for crystalline Tm5NiSe4 at its relaxed geometry.

Computed properties:
formation energy (no corrections) = -1439 meV/atom

a = 6.959 Å, b = 6.959 Å, c = 6.959 Å
α = 99.65°, β = 99.65°, γ = 131.67°
Fractional coordinates of all 10 atoms:
Tm: 0.000 0.000 0.000
Tm: 0.224 0.405 0.629
Tm: 0.405 0.776 0.181
Tm: 0.595 0.224 0.819
Tm: 0.776 0.595 0.371
Ni: 0.500 0.500 0.000
Se: 0.091 0.692 0.783
Se: 0.308 0.091 0.398
Se: 0.692 0.909 0.602
Se: 0.909 0.308 0.217

***

No. 2
Density functional theory data (PBE) for crystalline Bi2RhPb2 at its relaxed geometry.

Computed properties:
energy above the lowest structure with this stoichiometry = 152 meV/atom
formation energy = 0.09 eV/atom

a = 7.130 Å, b = 7.130 Å, c = 5.710 Å
α = 90.00°, β = 90.00°, γ = 90.00°
Fractional coordinates of all 10 atoms:
Bi: 0.153 0.347 0.000
Bi: 0.347 0.847 0.000
Bi: 0.653 0.153 0.000
Bi: 0.847 0.653 0.000
Rh: 0.000 0.000 0.000
Rh: 0.500 0.500 0.000
Pb: 0.170 0.670 0.500
Pb: 0.330 0.170 0.500
Pb: 0.670 0.830 0.500
Pb: 0.830 0.330 0.500

***

No. 3
Density functional theory data (PBE) for crystalline Ce2YThBi5 at its relaxed geometry.

Computed properties:
formation energy = 0.07 eV/atom

a = 5.765 Å, b = 5.765 Å, c = 11.896 Å
α = 90.00°, β = 90.00°, γ = 90.00°
Fractional coordinates of all 9 atoms:
Ce: 0.000 0.000 0.215
Ce: 0.000 0.000 0.785
Y: 0.500 0.500 0.500
Th: 0.500 0.500 0.000
Bi: 0.000 0.000 0.500
Bi: 0.000 0.500 0.000
Bi: 0.500 0.000 0.000
Bi: 0.500 0.500 0.257
Bi: 0.500 0.500 0.743

***

No. 4
Density functional theory data (PBE) for crystalline Pa2Pt2O7 at its relaxed geometry.

Computed properties:
formation energy (no corrections) = -1978 meV/atom

a = 7.531 Å, b = 7.531 Å, c = 7.531 Å
α = 60.00°, β = 60.00°, γ = 60.00°
Fractional coordinates of all 22 atoms:
Pa: 0.000 0.000 0.000
Pa: 0.000 0.000 0.500
Pa: 0.000 0.500 0.000
Pa: 0.500 0.000 0.000
Pt: 0.000 0.500 0.500
Pt: 0.500 0.000 0.500
Pt: 0.500 0.500 0.000
Pt: 0.500 0.500 0.500
O: 0.123 0.123 0.627
O: 0.123 0.627 0.123
O: 0.123 0.627 0.627
O: 0.125 0.125 0.125
O: 0.373 0.373 0.877
O: 0.373 0.877 0.373
O: 0.373 0.877 0.877
O: 0.627 0.123 0.123
O: 0.627 0.123 0.627
O: 0.627 0.627 0.123
O: 0.875 0.875 0.875
O: 0.877 0.373 0.373
O: 0.877 0.373 0.877
O: 0.877 0.877 0.373

***

No. 5
Density functional theory data (PBE) for crystalline TmMg2Sn2 at its relaxed geometry.

Computed properties:
energy above the lowest structure with this stoichiometry = 293 meV/atom
formation energy = -0.06 eV/atom

a = 4.962 Å, b = 4.962 Å, c = 12.636 Å
α = 90.00°, β = 90.00°, γ = 120.00°
Fractional coordinates of all 10 atoms:
Tm: 0.000 0.000 0.250
Tm: 0.000 0.000 0.750
Mg: 0.000 0.000 0.000
Mg: 0.000 0.000 0.500
Mg: 0.333 0.667 0.250
Mg: 0.667 0.333 0.750
Sn: 0.333 0.667 0.625
Sn: 0.333 0.667 0.875
Sn: 0.667 0.333 0.125
Sn: 0.667 0.333 0.375

***

No. 6
Density functional theory data (PBE) for crystalline Tb3Dy2Er8 at its relaxed geometry.

Computed properties:
energy above the lowest structure with this stoichiometry = 227 meV/atom
formation energy = 0.25 eV/atom

a = 10.731 Å, b = 10.731 Å, c = 5.543 Å
α = 90.00°, β = 90.00°, γ = 138.80°
Fractional coordinates of all 13 atoms:
Tb: 0.000 0.000 0.000
Tb: 0.286 0.286 0.500
Tb: 0.714 0.714 0.500
Dy: 0.241 0.759 0.000
Dy: 0.759 0.241 0.000
Er: 0.133 0.867 0.500
Er: 0.180 0.397 0.000
Er: 0.332 0.668 0.500
Er: 0.397 0.180 0.000
Er: 0.603 0.820 0.000
Er: 0.668 0.332 0.500
Er: 0.820 0.603 0.000
Er: 0.867 0.133 0.500

***

Which formula does entry 4 have?
Pa2Pt2O7

***

Which formula does entry 1 have?
Tm5NiSe4